No. 1
4
Lattice="-0.618 0.967 2.750 1.862 -2.326 0.049 6.926 5.537 -0.389" Properties=species:S:1:pos:R:3 comment="Zr2TcMo | Alexandria | PBE-GGA | relaxed" sg=Cmmm final_energy_ev_per_atom=-9.5784 dos_at_fermi_per_ev_fu=4.495 formation_enthalpy_0k_ev_per_atom=-0.005 pbc="T T T"
Tc 5.816 3.473 1.108
Mo 2.353 0.705 1.303
Zr 3.514 2.809 -0.198
Zr 6.875 5.496 -0.386


No. 2
4
Lattice="5.287 0.000 0.000 2.644 4.579 0.000 2.644 1.526 4.317" Properties=species:S:1:pos:R:3 comment="CeYScTl | Alexandria | PBE-GGA | relaxed" sg=F-43m final_energy_ev_per_atom=-5.2575 dos_at_fermi_per_ev_fu=7.915 formation_enthalpy_0k_ev_per_atom=0.016 pbc="T T T"
Y 7.931 4.579 3.238
Ce 5.287 3.053 2.158
Sc 2.644 1.526 1.079
Tl 0.000 0.000 0.000


No. 3
5
Lattice="-0.158 -1.977 4.370 2.550 -3.756 -1.607 4.068 2.261 1.170" Properties=species:S:1:pos:R:3 comment="NaHfRu2Rh | Alexandria | PBE-GGA | relaxed" sg=P4/mmm final_energy_ev_per_atom=-6.3561 dos_at_fermi_per_ev_fu=5.119 formation_enthalpy_0k_ev_per_atom=1.079 pbc="T T T"
Na 3.230 -1.736 1.967
Ru 2.034 1.130 0.585
Ru -0.079 -0.989 2.185
Rh 0.000 0.000 0.000
Hf 1.275 -1.878 -0.803


No. 4
15
Lattice="-3.593 -10.467 -2.873 7.194 2.329 5.240 -4.757 6.762 4.036" Properties=species:S:1:pos:R:3 comment="Sm3Er4Tm8 | Alexandria | PBE-GGA | relaxed" sg=C2/m final_energy_ev_per_atom=-4.1382 dos_at_fermi_per_ev_fu=30.574 formation_enthalpy_0k_ev_per_atom=0.407 pbc="T T T"
Sm 1.801 -4.069 1.183
Sm -4.175 -1.853 0.581
Sm -0.578 -0.688 3.202
Tm 2.453 -1.812 3.507
Tm -3.608 0.436 2.896
Tm 0.114 1.794 5.478
Tm -1.269 -3.171 0.925
Tm 1.779 6.668 6.888
Tm -2.935 -8.045 -0.485
Tm -0.415 5.151 4.474
Tm 2.852 3.940 4.803
Er -1.796 -5.233 -1.437
Er 3.597 1.165 2.620
Er 0.000 0.000 0.000
Er -2.379 3.381 2.018


No. 5
14
Lattice="-4.275 -3.139 5.635 6.382 -4.270 -1.004 1.971 7.233 1.939" Properties=species:S:1:pos:R:3 comment="Pr4NiIr2 | Alexandria | PBE-GGA | relaxed" sg=C2 final_energy_ev_per_atom=-6.5511 dos_at_fermi_per_ev_fu=1.960 formation_enthalpy_0k_ev_per_atom=-0.462 pbc="T T T"
Pr 0.899 4.566 3.698
Pr 1.217 -0.338 6.436
Pr 3.337 1.210 3.592
Pr 2.410 -2.039 1.179
Pr -1.700 -1.977 5.146
Pr -1.967 2.149 5.489
Pr -0.052 0.945 2.707
Pr 1.511 -4.088 4.670
Ir 1.302 -1.370 3.751
Ir 3.705 -4.420 2.146
Ir 2.252 3.048 1.661
Ir 0.900 2.391 5.581
Ni 4.077 -0.177 6.569
Ni 4.703 -0.375 1.629


No. 6
4
Lattice="-3.936 -4.032 5.685 -0.990 -3.289 7.230 -3.494 -0.979 7.134" Properties=species:S:1:pos:R:3 comment="ZnPtCl2 | Alexandria | PBE-GGA | relaxed" sg=R-3m formation_energy_uncorrected_ev_per_atom=-0.080 final_energy_ev_per_atom=-2.8317 dos_at_fermi_per_ev_fu=2.221 pbc="T T T"
Cl -0.840 -0.827 1.999
Cl -7.580 -7.472 18.050
Pt 0.000 0.000 0.000
Zn -4.210 -4.150 10.025